[1]
Computed, not measured: crystalline ZrTaFe2 at its relaxed geometry at the PBE-GGA level of DFT.

Computed properties:
Its space-group type is F-43m, No. 216. As for the formation enthalpy at 0 K: 0.125 eV/atom. Its theoretical density is 10396 kg/m3. As for the density of states at the Fermi level: 3.760 states/eV/cell. Its crystal system is cubic. For the electronic total energy, the calculation gives -9.21 eV per atom.

a b c (Å): 4.4261 4.4261 4.4261
angles (deg): 60.00 60.00 60.00
With the nearest neighbours (Å) after each atom.
Fractional coordinates of all 4 atoms:
Zr: 0.0000 0.0000 0.0000  4 Ta 2.71, 4 Fe 2.71
Ta: 0.2500 0.2500 0.2500  4 Fe 2.71, 4 Zr 2.71
Fe: 0.5000 0.5000 0.5000  4 Fe 2.71, 4 Ta 2.71
Fe: 0.7500 0.7500 0.7500  4 Fe 2.71, 4 Zr 2.71

[2]
Computed, not measured: crystalline SrCa3Ac2 at its relaxed geometry at the PBE-GGA level of DFT.

Computed properties:
Its space-group type is P-3m1, No. 164. As for the formation enthalpy at 0 K: 0.037 eV/atom. Its theoretical density is 4115 kg/m3. As for the density of states at the Fermi level: 19.080 states/eV/cell. Its crystal system is trigonal. For the electronic total energy, the calculation gives -2.61 eV per atom.

a b c (Å): 7.9324 7.9324 9.8018
angles (deg): 90.00 90.00 120.00
With the nearest neighbours (Å) after each atom.
Fractional coordinates of all 12 atoms:
Sr: 0.3333 0.6667 0.3395  9 Ca 3.97, 3 Ac 4.04
Sr: 0.6667 0.3333 0.6605  9 Ca 3.97, 3 Ac 4.04
Ca: 0.1648 0.3297 0.6689  6 Ca 3.92-4.01, 3 Ac 3.96-3.98, 3 Sr 3.97
Ca: 0.1648 0.8352 0.6689  6 Ca 3.92-4.01, 3 Ac 3.96-3.98, 3 Sr 3.97
Ca: 0.3297 0.1648 0.3311  6 Ca 3.92-4.01, 3 Ac 3.96-3.98, 3 Sr 3.97
Ca: 0.6703 0.8352 0.6689  6 Ca 3.92-4.01, 3 Ac 3.96-3.98, 3 Sr 3.97
Ca: 0.8352 0.1648 0.3311  6 Ca 3.92-4.01, 3 Ac 3.96-3.98, 3 Sr 3.97
Ca: 0.8352 0.6703 0.3311  6 Ca 3.92-4.01, 3 Ac 3.96-3.98, 3 Sr 3.97
Ac: 0.0000 0.0000 0.0000  6 Ca 3.96, 6 Ac 3.97
Ac: 0.0000 0.5000 0.0000  6 Ac 3.97, 4 Ca 3.98, 2 Sr 4.04
Ac: 0.5000 0.0000 0.0000  6 Ac 3.97, 4 Ca 3.98, 2 Sr 4.04
Ac: 0.5000 0.5000 0.0000  6 Ac 3.97, 4 Ca 3.98, 2 Sr 4.04

[3]
Computed, not measured: crystalline SrTe2PdN at its relaxed geometry at the PBE-GGA level of DFT.

Computed properties:
Its space-group type is P4/mmm, No. 123. For the formation energy without anion corrections, the calculation gives -9.66 kJ per mole of atoms. As for the energy above the most stable polymorph in this dataset: 0.0 kJ per mole of atoms. Its theoretical density is 6075 kg/m3. As for the density of states at the Fermi level: 2.863 states/eV/cell. Its crystal system is tetragonal. For the electronic total energy, the calculation gives -4.40 eV per atom.

a b c (Å): 5.7687 5.7687 3.8052
angles (deg): 90.00 90.00 90.00
With the nearest neighbours (Å) after each atom.
Fractional coordinates of all 5 atoms:
Sr: 0.0000 0.0000 0.0000  8 Te 3.46, 2 Sr 3.81
Te: 0.0000 0.5000 0.5000  2 Pd 2.88
Te: 0.5000 0.0000 0.5000  2 Pd 2.88
Pd: 0.5000 0.5000 0.5000  2 N 1.90
N: 0.5000 0.5000 0.0000  2 Pd 1.90

[4]
Computed, not measured: crystalline Tb2HoTh at its relaxed geometry at the PBE-GGA level of DFT.

Computed properties:
Its space-group type is I4/mmm, No. 139. As for the formation enthalpy at 0 K: 0.053 eV/atom. As for the energy above the most stable polymorph in this dataset: 4.4 kJ per mole of atoms. Its theoretical density is 9289 kg/m3. As for the density of states at the Fermi level: 6.476 states/eV/cell. Its crystal system is tetragonal. For the electronic total energy, the calculation gives -5.26 eV per atom.

a b c (Å): 6.1603 6.1603 6.1603
angles (deg): 131.67 131.67 70.75
With the nearest neighbours (Å) after each atom.
Fractional coordinates of all 4 atoms:
Tb: 0.2500 0.7500 0.5000  4 Th 3.56, 4 Ho 3.56, 4 Tb 3.57
Tb: 0.7500 0.2500 0.5000  4 Th 3.56, 4 Ho 3.56, 4 Tb 3.57
Ho: 0.0000 0.0000 0.0000  8 Tb 3.56, 4 Th 3.57
Th: 0.5000 0.5000 0.0000  8 Tb 3.56, 4 Ho 3.57

[5]
Computed, not measured: crystalline La12Si6Ge at its relaxed geometry at the PBE-GGA level of DFT.

Computed properties:
Its space-group type is Im-3, No. 204. For the formation energy without anion corrections, the calculation gives -52.18 kJ per mole of atoms. Its theoretical density is 5629 kg/m3. As for the density of states at the Fermi level: 12.561 states/eV/cell. Its crystal system is cubic. For the electronic total energy, the calculation gives -5.61 eV per atom.

a b c (Å): 9.0087 9.0087 9.0087
angles (deg): 109.47 109.47 109.47
With the nearest neighbours (Å) after each atom.
Fractional coordinates of all 19 atoms:
La: 0.1047 0.8113 0.2934  3 Si 2.98-3.14
La: 0.1887 0.2934 0.4821  3 Si 2.98-3.14
La: 0.1887 0.7066 0.8953  3 Si 2.98-3.14
La: 0.2934 0.1047 0.8113  3 Si 2.98-3.14
La: 0.2934 0.4821 0.1887  3 Si 2.98-3.14
La: 0.4821 0.1887 0.2934  3 Si 2.98-3.14
La: 0.5179 0.8113 0.7066  3 Si 2.98-3.14
La: 0.7066 0.5179 0.8113  3 Si 2.98-3.14
La: 0.7066 0.8953 0.1887  3 Si 2.98-3.14
La: 0.8113 0.2934 0.1047  3 Si 2.98-3.14
La: 0.8113 0.7066 0.5179  3 Si 2.98-3.14
La: 0.8953 0.1887 0.7066  3 Si 2.98-3.14
Si: 0.1128 0.6128 0.5000  1 Si 2.35
Si: 0.3872 0.5000 0.8872  1 Si 2.35
Si: 0.5000 0.1128 0.6128  1 Si 2.35
Si: 0.5000 0.8872 0.3872  1 Si 2.35
Si: 0.6128 0.5000 0.1128  1 Si 2.35
Si: 0.8872 0.3872 0.5000  1 Si 2.35
Ge: 0.0000 0.0000 0.0000  12 La 3.63

[6]
Computed, not measured: crystalline TbPm4Pr3 at its relaxed geometry at the PBE-GGA level of DFT.

Computed properties:
Its space-group type is C2/m, No. 12. As for the formation enthalpy at 0 K: 0.204 eV/atom. As for the energy above the most stable polymorph in this dataset: 16.6 kJ per mole of atoms. Its theoretical density is 6819 kg/m3. As for the density of states at the Fermi level: 11.445 states/eV/cell. Its crystal system is monoclinic. For the electronic total energy, the calculation gives -4.54 eV per atom.

a b c (Å): 12.9206 12.9206 6.3279
angles (deg): 95.54 95.54 15.61
With the nearest neighbours (Å) after each atom.
Fractional coordinates of all 8 atoms:
Tb: 0.0000 0.0000 0.0000  4 Pm 3.48, 2 Tb 3.51, 4 Pr 3.62
Pm: 0.2222 0.2222 0.2362  1 Pr 3.43, 4 Pm 3.45-3.51
Pm: 0.3936 0.3936 0.7523  3 Pr 3.29-3.31, 4 Pm 3.45-3.51, 2 Tb 3.48
Pm: 0.6064 0.6064 0.2477  3 Pr 3.29-3.31, 4 Pm 3.45-3.51, 2 Tb 3.48
Pm: 0.7778 0.7778 0.7638  1 Pr 3.43, 4 Pm 3.45-3.51
Pr: 0.3563 0.3563 0.2372  3 Pm 3.30-3.43, 2 Pr 3.51
Pr: 0.5000 0.5000 0.5000  2 Pm 3.29, 2 Pr 3.51, 4 Tb 3.62
Pr: 0.6437 0.6437 0.7628  3 Pm 3.30-3.43, 2 Pr 3.51

[7]
Computed, not measured: crystalline KNiSBr2 at its relaxed geometry at the PBE-GGA level of DFT.

Computed properties:
Its space-group type is P4/mmm, No. 123. For the formation energy without anion corrections, the calculation gives -41.65 kJ per mole of atoms. Its theoretical density is 3464 kg/m3. As for the density of states at the Fermi level: 2.169 states/eV/cell. Its crystal system is tetragonal. For the electronic total energy, the calculation gives -3.30 eV per atom.

a b c (Å): 5.8374 5.8374 4.0746
angles (deg): 90.00 90.00 90.00
With the nearest neighbours (Å) after each atom.
Fractional coordinates of all 5 atoms:
K: 0.0000 0.0000 0.0000  8 Br 3.56
Ni: 0.5000 0.5000 0.0000  2 S 2.04
S: 0.5000 0.5000 0.5000  2 Ni 2.04
Br: 0.0000 0.5000 0.5000  2 S 2.92
Br: 0.5000 0.0000 0.5000  2 S 2.92

[8]
Computed, not measured: crystalline Rb2UAgCl6 at its relaxed geometry at the PBE-GGA level of DFT.

Computed properties:
Its space-group type is Pmmn, No. 59. For the formation energy without anion corrections, the calculation gives -148.61 kJ per mole of atoms. Its theoretical density is 3687 kg/m3. As for the density of states at the Fermi level: 17.104 states/eV/cell. Its crystal system is orthorhombic. For the electronic total energy, the calculation gives -4.26 eV per atom.

a b c (Å): 7.7430 10.9545 7.7478
angles (deg): 90.00 90.00 90.00
With the nearest neighbours (Å) after each atom.
Fractional coordinates of all 20 atoms:
Rb: 0.2500 0.9997 0.2484  12 Cl 3.85-3.90
Rb: 0.2500 0.5003 0.2484  12 Cl 3.85-3.90
Rb: 0.7500 0.0003 0.7516  12 Cl 3.85-3.90
Rb: 0.7500 0.4997 0.7516  12 Cl 3.85-3.90
U: 0.2500 0.2500 0.7494  6 Cl 2.74
U: 0.7500 0.7500 0.2506  6 Cl 2.74
Ag: 0.2500 0.7500 0.7504  6 Cl 2.74
Ag: 0.7500 0.2500 0.2496  6 Cl 2.74
Cl: 0.0003 0.2500 0.4996  1 U 2.74, 1 Ag 2.74
Cl: 0.9999 0.2500 0.9988  1 U 2.74, 1 Ag 2.74
Cl: 0.0001 0.7500 0.0012  1 U 2.74, 1 Ag 2.74
Cl: 0.9997 0.7500 0.5004  1 U 2.74, 1 Ag 2.74
Cl: 0.2500 0.0003 0.7515  1 U 2.74, 1 Ag 2.74
Cl: 0.2500 0.4997 0.7515  1 U 2.74, 1 Ag 2.74
Cl: 0.4997 0.2500 0.4996  1 U 2.74, 1 Ag 2.74
Cl: 0.5001 0.2500 0.9988  1 U 2.74, 1 Ag 2.74
Cl: 0.4999 0.7500 0.0012  1 U 2.74, 1 Ag 2.74
Cl: 0.5003 0.7500 0.5004  1 U 2.74, 1 Ag 2.74
Cl: 0.7500 0.9997 0.2485  1 U 2.74, 1 Ag 2.74
Cl: 0.7500 0.5003 0.2485  1 U 2.74, 1 Ag 2.74

- The lowest theoretical density belongs to which entry?
  KNiSBr2

- Which value of electronic total energy does entry 2 give?
  -2.61 eV per atom